No. 1
DFT (PBE-GGA) results for a geometry-optimized Tb3CeY2P6 structure.

ΔH_f (0 K), meV per atom: -1607
Total energy, eV for the cell shown: -168.99

Structure (CIF):
```
data_Tb3CeY2P6
_space_group_name_H-M_alt 'C 1 2/m 1'
_space_group_IT_number 12
_space_group_name_Hall '-C 2y'
_cell_length_a 6.9780
_cell_length_b 12.0835
_cell_length_c 6.9829
_cell_angle_alpha 90.00
_cell_angle_beta 109.46
_cell_angle_gamma 90.00
loop_
_atom_site_label
_atom_site_fract_x
_atom_site_fract_y
_atom_site_fract_z
Tb1 0.0000 0.0000 0.0000
Tb2 0.0000 0.3332 0.0000
Ce1 0.0000 0.5000 0.5000
Y1 0.0000 0.1666 0.5000
P1 0.2495 0.3337 0.7497
P2 0.2504 0.0000 0.7486
```

***

No. 2
DFT (PBE-GGA) results for a geometry-optimized TbCe3Zr2P6 structure.

ΔH_f (0 K), meV per atom: -1490
Total energy, eV for the cell shown: -179.73

Structure (CIF):
```
data_TbCe3Zr2P6
_space_group_name_H-M_alt 'C 1 2/m 1'
_space_group_IT_number 12
_space_group_name_Hall '-C 2y'
_cell_length_a 6.8323
_cell_length_b 11.8363
_cell_length_c 6.8453
_cell_angle_alpha 90.00
_cell_angle_beta 109.47
_cell_angle_gamma 90.00
loop_
_atom_site_label
_atom_site_fract_x
_atom_site_fract_y
_atom_site_fract_z
Tb1 0.0000 0.0000 0.0000
Ce1 0.0000 0.1639 0.5000
Ce2 0.0000 0.5000 0.5000
Zr1 0.0000 0.3326 0.0000
P1 0.2357 0.5000 0.2339
P2 0.2502 0.1710 0.2370
```